MnFe2As (GGA-PBE, optimized geometry); space group = Cmmm (65); energy of formation = 0.276 eV/atom
1.0
3.2037 0.0000 0.0000
0.0000 4.3430 0.0000
0.0000 0.0000 7.5656
Mn Fe As
2 4 2
Direct
0.0000 0.0000 0.0000 Mn
0.5000 0.5000 0.0000 Mn
0.0000 0.5000 0.2508 Fe
0.0000 0.5000 0.7492 Fe
0.5000 0.0000 0.2508 Fe
0.5000 0.0000 0.7492 Fe
0.0000 0.0000 0.5000 As
0.5000 0.5000 0.5000 As

MnFe4As (GGA-PBE, optimized geometry); space group = F-43m (216); energy of formation = 0.216 eV/atom
1.0
0.0000 3.3568 3.3568
3.3568 0.0000 3.3568
3.3568 3.3568 0.0000
Mn Fe As
1 4 1
Direct
0.0000 0.0000 0.0000 Mn
0.3749 0.3749 0.3749 Fe
0.3749 0.3749 0.8753 Fe
0.3749 0.8753 0.3749 Fe
0.8753 0.3749 0.3749 Fe
0.7500 0.7500 0.7500 As

MnFe2As2 (GGA-PBE, optimized geometry); space group = I4/mmm (139); relative energy among the computed polymorphs = 0 meV/atom; energy of formation = 0.054 eV/atom
1.0
3.9314 0.0000 0.0000
0.0000 3.9314 0.0000
0.0000 0.0000 9.5299
Mn Fe As
2 4 4
Direct
0.0000 0.0000 0.0000 Mn
0.5000 0.5000 0.5000 Mn
0.0000 0.5000 0.2500 Fe
0.0000 0.5000 0.7500 Fe
0.5000 0.0000 0.2500 Fe
0.5000 0.0000 0.7500 Fe
0.0000 0.0000 0.3719 As
0.0000 0.0000 0.6281 As
0.5000 0.5000 0.1281 As
0.5000 0.5000 0.8719 As

Mn2FeAs (GGA-PBE, optimized geometry); space group = R-3m (166); energy of formation = 0.281 eV/atom
1.0
2.6769 0.0000 0.0000
-1.3384 2.3182 0.0000
0.0000 0.0000 23.2528
Mn Fe As
6 3 3
Direct
0.0000 0.0000 0.2494 Mn
0.0000 0.0000 0.7506 Mn
0.3333 0.6667 0.4172 Mn
0.3333 0.6667 0.9161 Mn
0.6667 0.3333 0.0839 Mn
0.6667 0.3333 0.5828 Mn
0.0000 0.0000 0.5000 Fe
0.3333 0.6667 0.1667 Fe
0.6667 0.3333 0.8333 Fe
0.0000 0.0000 0.0000 As
0.3333 0.6667 0.6667 As
0.6667 0.3333 0.3333 As

Mn2FeAs (GGA-PBE, optimized geometry); space group = Pmmm (47); energy of formation = 0.101 eV/atom
1.0
2.6932 0.0000 0.0000
0.0000 3.6907 0.0000
0.0000 0.0000 5.0094
Mn Fe As
2 1 1
Direct
0.0000 0.0000 0.2416 Mn
0.0000 0.0000 0.7584 Mn
0.5000 0.5000 0.0000 Fe
0.5000 0.5000 0.5000 As

MnFeAs2 (GGA-PBE, optimized geometry); space group = P4/mmm (123); relative energy among the computed polymorphs = 173 meV/atom; energy of formation = 0.110 eV/atom
1.0
2.9472 0.0000 0.0000
0.0000 2.9472 0.0000
0.0000 0.0000 5.8394
Mn Fe As
1 1 2
Direct
0.0000 0.0000 0.0000 Mn
0.0000 0.0000 0.5000 Fe
0.5000 0.5000 0.2483 As
0.5000 0.5000 0.7517 As

Mn2FeAs (GGA-PBE, optimized geometry); space group = P4/mmm (123); energy of formation = -0.045 eV/atom
1.0
3.6412 0.0000 0.0000
0.0000 3.6412 0.0000
0.0000 0.0000 3.6373
Mn Fe As
2 1 1
Direct
0.0000 0.5000 0.0000 Mn
0.5000 0.0000 0.0000 Mn
0.0000 0.0000 0.5000 Fe
0.5000 0.5000 0.5000 As

Mn2FeAs8 (GGA-PBE, optimized geometry); space group = C2/m (12); energy of formation = 0.111 eV/atom
1.0
6.6104 -3.7615 0.0000
6.6104 3.7615 0.0000
-1.1560 0.0000 4.4719
Mn Fe As
2 1 8
Direct
0.1801 0.1801 0.3306 Mn
0.8199 0.8199 0.6694 Mn
0.0000 0.0000 0.5000 Fe
0.1722 0.1722 0.8311 As
0.1772 0.6961 0.7347 As
0.3039 0.8228 0.2653 As
0.3642 0.3642 0.4012 As
0.6358 0.6358 0.5988 As
0.6961 0.1772 0.7347 As
0.8228 0.3039 0.2653 As
0.8278 0.8278 0.1689 As

One value per record, in order, for V: 105 76 147 144 50 51 48 222 Å³/cell.
One value per record, in order, for density of states at the Fermi level: 7.21 4.27 8.51 11.86 4.07 2.99 2.94 5.49 states/eV/cell.
One value per record, in order, for final energy: -0.27232 -0.28404 -0.25814 -0.27863 -0.28524 -0.24337 -0.29059 -0.20973 Ha/atom.